Record 1
The following is a DFT calculation (PBE-GGA) of an optimized crystal structure of CaSmAu2. Values from VASP.

Cell and atoms, written as Quantum ESPRESSO input:
```
&SYSTEM
  ibrav = 0, nat = 4, ntyp = 3
/
ATOMIC_SPECIES
Ca 40.08 Ca.upf
Au 196.97 Au.upf
Sm 150.36 Sm.upf
CELL_PARAMETERS angstrom
4.261 0.000 0.000
2.130 3.690 0.000
2.130 1.230 7.079
ATOMIC_POSITIONS crystal
Ca 0.000 0.000 0.000
Au 0.752 0.752 0.744
Au 0.248 0.248 0.256
Sm 0.500 0.500 0.500
```

As for the crystal system: trigonal. The density of states at the Fermi level is 2.0 states/eV per cell. For the calculated volume, the calculation gives 111.3 Å³ per cell. The formation energy comes out at -718 meV/atom.

***

Record 2
The following is a DFT calculation (PBE-GGA) of an optimized crystal structure of CaSmAu2. Values from VASP.

Cell and atoms, written as Quantum ESPRESSO input:
```
&SYSTEM
  ibrav = 0, nat = 4, ntyp = 3
/
ATOMIC_SPECIES
Ca 40.08 Ca.upf
Au 196.97 Au.upf
Sm 150.36 Sm.upf
CELL_PARAMETERS angstrom
3.678 0.000 0.000
0.000 3.678 0.000
0.000 0.000 7.304
ATOMIC_POSITIONS crystal
Ca 0.500 0.500 0.500
Au 0.000 0.000 0.764
Au 0.000 0.000 0.236
Sm 0.500 0.500 0.000
```

As for the crystal system: tetragonal. The density of states at the Fermi level is 2.8 states/eV per cell. For the calculated volume, the calculation gives 98.8 Å³ per cell. The formation energy comes out at -804 meV/atom.

***

Record 3
The following is a DFT calculation (PBE-GGA) of an optimized crystal structure of Ca2SmAu3. Values from VASP.

Cell and atoms, written as Quantum ESPRESSO input:
```
&SYSTEM
  ibrav = 0, nat = 6, ntyp = 3
/
ATOMIC_SPECIES
Ca 40.08 Ca.upf
Sm 150.36 Sm.upf
Au 196.97 Au.upf
CELL_PARAMETERS angstrom
3.671 0.000 0.000
0.000 3.671 0.000
0.000 0.000 10.899
ATOMIC_POSITIONS crystal
Ca 0.500 0.500 0.834
Ca 0.500 0.500 0.166
Sm 0.500 0.500 0.500
Au 0.000 0.000 0.000
Au 0.000 0.000 0.659
Au 0.000 0.000 0.341
```

For the energy above the most stable polymorph in this dataset, the calculation gives 0.003 eV per atom. As for the crystal system: tetragonal. The density of states at the Fermi level is 4.5 states/eV per cell. For the calculated volume, the calculation gives 146.9 Å³ per cell. The formation energy comes out at -795 meV/atom.

***

Record 4
The following is a DFT calculation (PBE-GGA) of an optimized crystal structure of SrCa2SmAu4. Values from VASP.

Cell and atoms, written as Quantum ESPRESSO input:
```
&SYSTEM
  ibrav = 0, nat = 8, ntyp = 4
/
ATOMIC_SPECIES
Sr 87.62 Sr.upf
Ca 40.08 Ca.upf
Sm 150.36 Sm.upf
Au 196.97 Au.upf
CELL_PARAMETERS angstrom
-4.465 -2.570 -0.853
0.032 -5.199 -0.485
-2.636 -3.386 8.018
ATOMIC_POSITIONS crystal
Sr 0.000 0.000 0.000
Ca 0.750 0.750 0.751
Ca 0.250 0.250 0.249
Sm 0.500 0.500 0.500
Au 0.381 0.381 0.858
Au 0.869 0.869 0.393
Au 0.131 0.131 0.607
Au 0.619 0.619 0.142
```

As for the crystal system: trigonal. The density of states at the Fermi level is 5.5 states/eV per cell. For the calculated volume, the calculation gives 202.6 Å³ per cell. The formation energy comes out at -782 meV/atom.

***

Record 5
The following is a DFT calculation (PBE-GGA) of an optimized crystal structure of Ca3Sm3Te8Au. Values from VASP.

Cell and atoms, written as Quantum ESPRESSO input:
```
&SYSTEM
  ibrav = 0, nat = 15, ntyp = 4
/
ATOMIC_SPECIES
Ca 40.08 Ca.upf
Sm 150.36 Sm.upf
Te 127.60 Te.upf
Au 196.97 Au.upf
CELL_PARAMETERS angstrom
-6.933 3.023 -5.041
-1.354 -5.623 6.685
2.391 8.416 1.759
ATOMIC_POSITIONS crystal
Ca 0.000 0.000 0.000
Ca 0.000 0.500 0.000
Ca 0.500 0.500 0.000
Sm 0.500 0.000 0.500
Sm 0.500 0.500 0.500
Sm 0.000 0.500 0.500
Te 0.249 0.498 0.251
Te 0.751 0.502 0.749
Te 0.782 0.563 0.283
Te 0.218 0.437 0.717
Te 0.732 0.006 0.238
Te 0.268 0.994 0.762
Te 0.274 0.006 0.238
Te 0.726 0.994 0.762
Au 0.000 0.000 0.500
```

As for the crystal system: monoclinic. The density of states at the Fermi level is 4.0 states/eV per cell. For the uncorrected formation energy, the calculation gives -1.258 eV/atom. For the calculated volume, the calculation gives 503.8 Å³ per cell.

***

Record 6
The following is a DFT calculation (PBE-GGA) of an optimized crystal structure of CaSn2Au. Values from VASP.

Cell and atoms, written as Quantum ESPRESSO input:
```
&SYSTEM
  ibrav = 0, nat = 4, ntyp = 3
/
ATOMIC_SPECIES
Ca 40.08 Ca.upf
Au 196.97 Au.upf
Sn 118.71 Sn.upf
CELL_PARAMETERS angstrom
3.656 0.000 0.000
1.828 3.166 0.000
1.828 1.055 10.294
ATOMIC_POSITIONS crystal
Ca 0.000 0.000 0.000
Au 0.500 0.500 0.500
Sn 0.104 0.104 0.689
Sn 0.896 0.896 0.311
```

As for the crystal system: trigonal. The density of states at the Fermi level is 3.3 states/eV per cell. For the calculated volume, the calculation gives 119.1 Å³ per cell. The formation energy comes out at -24 meV/atom.

***

Record 7
The following is a DFT calculation (PBE-GGA) of an optimized crystal structure of Ca3SnAu4. Values from VASP.

Cell and atoms, written as Quantum ESPRESSO input:
```
&SYSTEM
  ibrav = 0, nat = 8, ntyp = 3
/
ATOMIC_SPECIES
Ca 40.08 Ca.upf
Au 196.97 Au.upf
Sn 118.71 Sn.upf
CELL_PARAMETERS angstrom
-4.825 -1.565 0.249
-1.155 -4.840 -1.017
-0.953 -4.067 7.753
ATOMIC_POSITIONS crystal
Ca 0.255 0.255 0.234
Ca 0.745 0.745 0.766
Ca 0.500 0.500 0.500
Au 0.872 0.872 0.383
Au 0.378 0.378 0.867
Au 0.128 0.128 0.617
Au 0.622 0.622 0.133
Sn 0.000 0.000 0.000
```

As for the crystal system: trigonal. The density of states at the Fermi level is 3.5 states/eV per cell. For the calculated volume, the calculation gives 185.5 Å³ per cell. The formation energy comes out at -706 meV/atom.

***

Record 8
The following is a DFT calculation (PBE-GGA) of an optimized crystal structure of Ca2Sn3Au9. Values from VASP.

Cell and atoms, written as Quantum ESPRESSO input:
```
&SYSTEM
  ibrav = 0, nat = 28, ntyp = 3
/
ATOMIC_SPECIES
Ca 40.08 Ca.upf
Sn 118.71 Sn.upf
Au 196.97 Au.upf
CELL_PARAMETERS angstrom
7.562 -0.023 -3.171
-4.443 6.891 -0.018
0.361 0.252 11.415
ATOMIC_POSITIONS crystal
Ca 0.330 0.259 0.746
Ca 0.670 0.741 0.254
Ca 0.013 0.584 0.754
Ca 0.987 0.416 0.246
Sn 0.500 0.000 0.000
Sn 0.500 0.500 0.500
Sn 0.839 0.158 0.498
Sn 0.161 0.842 0.502
Sn 0.160 0.341 0.002
Sn 0.840 0.659 0.998
Au 0.445 0.904 0.747
Au 0.555 0.096 0.253
Au 0.657 0.698 0.753
Au 0.343 0.302 0.247
Au 0.455 0.641 0.929
Au 0.545 0.359 0.071
Au 0.212 0.526 0.571
Au 0.788 0.474 0.429
Au 0.892 0.142 0.750
Au 0.108 0.858 0.250
Au 0.108 0.964 0.891
Au 0.892 0.036 0.109
Au 0.573 0.217 0.609
Au 0.427 0.783 0.391
Au 0.898 0.857 0.597
Au 0.102 0.143 0.403
Au 0.760 0.301 0.903
Au 0.240 0.699 0.097
```

As for the crystal system: monoclinic. The density of states at the Fermi level is 11.6 states/eV per cell. For the calculated volume, the calculation gives 605.2 Å³ per cell. The formation energy comes out at -389 meV/atom.

***

Record 9
The following is a DFT calculation (PBE-GGA) of an optimized crystal structure of Ca2SnAu. Values from VASP.

Cell and atoms, written as Quantum ESPRESSO input:
```
&SYSTEM
  ibrav = 0, nat = 4, ntyp = 3
/
ATOMIC_SPECIES
Ca 40.08 Ca.upf
Au 196.97 Au.upf
Sn 118.71 Sn.upf
CELL_PARAMETERS angstrom
3.625 0.000 0.000
0.000 3.625 0.000
0.000 0.000 7.973
ATOMIC_POSITIONS crystal
Ca 0.000 0.000 0.769
Ca 0.000 0.000 0.231
Au 0.500 0.500 0.000
Sn 0.500 0.500 0.500
```

As for the crystal system: tetragonal. The density of states at the Fermi level is 2.7 states/eV per cell. For the calculated volume, the calculation gives 104.8 Å³ per cell. The formation energy comes out at -723 meV/atom.

***

Record 10
The following is a DFT calculation (PBE-GGA) of an optimized crystal structure of Ca2Sn5Au3. Values from VASP.

Cell and atoms, written as Quantum ESPRESSO input:
```
&SYSTEM
  ibrav = 0, nat = 20, ntyp = 3
/
ATOMIC_SPECIES
Ca 40.08 Ca.upf
Sn 118.71 Sn.upf
Au 196.97 Au.upf
CELL_PARAMETERS angstrom
4.482 0.000 -0.763
0.000 7.865 0.000
0.095 0.000 14.093
ATOMIC_POSITIONS crystal
Ca 0.477 0.754 0.954
Ca 0.174 0.721 0.349
Ca 0.826 0.221 0.651
Ca 0.523 0.254 0.046
Sn 0.402 0.388 0.803
Sn 0.296 0.522 0.592
Sn 0.704 0.022 0.408
Sn 0.121 0.248 0.242
Sn 0.294 0.935 0.589
Sn 0.950 0.086 0.900
Sn 0.706 0.435 0.411
Sn 0.879 0.748 0.758
Sn 0.050 0.586 0.100
Sn 0.598 0.888 0.197
Au 0.768 0.729 0.536
Au 0.607 0.517 0.214
Au 0.044 0.963 0.088
Au 0.232 0.229 0.464
Au 0.956 0.463 0.912
Au 0.393 0.017 0.786
```

As for the crystal system: orthorhombic. The density of states at the Fermi level is 7.8 states/eV per cell. For the calculated volume, the calculation gives 497.4 Å³ per cell. The formation energy comes out at -454 meV/atom.

***

Record 11
The following is a DFT calculation (PBE-GGA) of an optimized crystal structure of Ca2SnAu. Values from VASP.

Cell and atoms, written as Quantum ESPRESSO input:
```
&SYSTEM
  ibrav = 0, nat = 4, ntyp = 3
/
ATOMIC_SPECIES
Ca 40.08 Ca.upf
Sn 118.71 Sn.upf
Au 196.97 Au.upf
CELL_PARAMETERS angstrom
-7.648 -2.059 -4.265
7.474 -1.930 4.619
4.931 2.431 7.120
ATOMIC_POSITIONS crystal
Ca 0.000 0.332 0.332
Ca 0.000 0.668 0.668
Sn 0.000 0.000 0.000
Au 0.000 0.500 0.500
```

As for the crystal system: orthorhombic. The density of states at the Fermi level is 3.0 states/eV per cell. For the calculated volume, the calculation gives 135.6 Å³ per cell. The formation energy comes out at -191 meV/atom.

***

What did the fourth record say?
The following is a DFT calculation (PBE-GGA) of an optimized crystal structure of SrCa2SmAu4. Values from VASP.

Cell and atoms, written as Quantum ESPRESSO input:
```
&SYSTEM
  ibrav = 0, nat = 8, ntyp = 4
/
ATOMIC_SPECIES
Sr 87.62 Sr.upf
Ca 40.08 Ca.upf
Sm 150.36 Sm.upf
Au 196.97 Au.upf
CELL_PARAMETERS angstrom
-4.465 -2.570 -0.853
0.032 -5.199 -0.485
-2.636 -3.386 8.018
ATOMIC_POSITIONS crystal
Sr 0.000 0.000 0.000
Ca 0.750 0.750 0.751
Ca 0.250 0.250 0.249
Sm 0.500 0.500 0.500
Au 0.381 0.381 0.858
Au 0.869 0.869 0.393
Au 0.131 0.131 0.607
Au 0.619 0.619 0.142
```

As for the crystal system: trigonal. The density of states at the Fermi level is 5.5 states/eV per cell. For the calculated volume, the calculation gives 202.6 Å³ per cell. The formation energy comes out at -782 meV/atom.

***

Question: Look up the calculated volume of the sixth one.
Answer: 119.1 Å³ per cell

***

Repeat the fourth record exactly.
The following is a DFT calculation (PBE-GGA) of an optimized crystal structure of SrCa2SmAu4. Values from VASP.

Cell and atoms, written as Quantum ESPRESSO input:
```
&SYSTEM
  ibrav = 0, nat = 8, ntyp = 4
/
ATOMIC_SPECIES
Sr 87.62 Sr.upf
Ca 40.08 Ca.upf
Sm 150.36 Sm.upf
Au 196.97 Au.upf
CELL_PARAMETERS angstrom
-4.465 -2.570 -0.853
0.032 -5.199 -0.485
-2.636 -3.386 8.018
ATOMIC_POSITIONS crystal
Sr 0.000 0.000 0.000
Ca 0.750 0.750 0.751
Ca 0.250 0.250 0.249
Sm 0.500 0.500 0.500
Au 0.381 0.381 0.858
Au 0.869 0.869 0.393
Au 0.131 0.131 0.607
Au 0.619 0.619 0.142
```

As for the crystal system: trigonal. The density of states at the Fermi level is 5.5 states/eV per cell. For the calculated volume, the calculation gives 202.6 Å³ per cell. The formation energy comes out at -782 meV/atom.

***

Question: The lowest calculated volume belongs to which entry?
Answer: number 2